The following is a DFT calculation (GGA-PBE) of Li2Ac2Si3 after structural relaxation.

Computed properties:
Total DFT energy (no corrections)   -4.591 eV per atom

a b c (Å): 4.6796 7.0626 9.9418
angles (deg): 90.00 103.61 90.00
Sites, in units of the cell vectors:
Si 0.2196 0.7500 0.4393
Ac 0.8394 0.7500 0.6787
Si 0.4442 0.5785 0.8884
Si 0.5558 0.0785 0.1116
Ac 0.9478 0.2500 0.8957
Si 0.5558 0.4215 0.1116
Li 0.3133 0.0625 0.6266
Li 0.6867 0.9375 0.3734
Si 0.7804 0.2500 0.5607
Li 0.3133 0.4375 0.6266
Ac 0.0522 0.7500 0.1043
Ac 0.1606 0.2500 0.3213
Si 0.4442 0.9215 0.8884
Li 0.6867 0.5625 0.3734

***

The following is a DFT calculation (GGA-PBE) of Li3AcSi2 after structural relaxation.

Computed properties:
Total DFT energy (no corrections)   -3.815 eV per atom

a b c (Å): 4.4061 8.0896 7.9778
angles (deg): 113.82 90.00 105.80
Sites, in units of the cell vectors:
Si 0.8176 0.6353 0.3148
Li 0.0317 0.0634 0.3616
Li 0.9683 0.9366 0.6384
Ac 0.1545 0.3090 0.0764
Ac 0.8455 0.6909 0.9236
Li 0.3167 0.6334 0.5448
Si 0.4801 0.9603 0.8436
Li 0.4061 0.8122 0.3214
Li 0.6833 0.3666 0.4552
Li 0.5939 0.1878 0.6786
Si 0.1824 0.3647 0.6852
Si 0.5199 0.0397 0.1564

***

The following is a DFT calculation (GGA-PBE) of LiAc3Si2 after structural relaxation.

Computed properties:
Total DFT energy (no corrections)   -4.442 eV per atom

a b c (Å): 7.1982 8.0298 9.0013
angles (deg): 116.49 113.57 90.00
Sites, in units of the cell vectors:
Si 0.8514 0.1295 0.2590
Ac 0.5000 0.7500 0.0000
Ac 0.5000 0.2500 0.0000
Li 0.0000 0.0000 0.0000
Ac 0.2221 0.9721 0.4442
Ac 0.7779 0.5279 0.5558
Si 0.1486 0.8705 0.7410
Ac 0.7779 0.0279 0.5558
Si 0.5924 0.3705 0.7410
Li 0.0000 0.5000 0.0000
Si 0.4076 0.6295 0.2590
Ac 0.2221 0.4721 0.4442

***

The following is a DFT calculation (GGA-PBE) of Li4AcSi2 after structural relaxation.

Computed properties:
Total DFT energy (no corrections)   -3.540 eV per atom

a b c (Å): 4.5343 4.5179 7.0451
angles (deg): 108.70 90.00 90.00
Sites, in units of the cell vectors:
Si 0.5000 0.5900 0.1799
Li 0.5000 0.1956 0.3911
Li 0.0000 0.6842 0.3685
Li 0.5000 0.8044 0.6089
Si 0.5000 0.4100 0.8201
Ac 0.0000 0.0000 0.0000
Li 0.0000 0.3158 0.6315

***

The following is a DFT calculation (GGA-PBE) of Li2AcSi4 after structural relaxation.

Computed properties:
Total DFT energy (no corrections)   -4.477 eV per atom

a b c (Å): 4.1100 4.1100 9.7347
angles (deg): 77.81 77.81 60.00
Sites, in units of the cell vectors:
Si 0.5912 0.5912 0.2264
Ac 0.0000 0.0000 0.0000
Li 0.8609 0.8609 0.4172
Si 0.7634 0.7634 0.7097
Si 0.2366 0.2366 0.2903
Li 0.1391 0.1391 0.5828
Si 0.4088 0.4088 0.7736

***

The following is a DFT calculation (GGA-PBE) of Li2Ac3Si4 after structural relaxation.

Computed properties:
Total DFT energy (no corrections)   -4.746 eV per atom

a b c (Å): 4.4089 6.2044 8.7608
angles (deg): 99.93 90.00 110.81
Sites, in units of the cell vectors:
Ac 0.6610 0.3219 0.6706
Si 0.2812 0.5623 0.9505
Si 0.0576 0.1152 0.3956
Ac 0.3390 0.6781 0.3294
Si 0.7188 0.4377 0.0495
Ac 0.0000 0.0000 0.0000
Li 0.3830 0.7661 0.7144
Li 0.6170 0.2339 0.2856
Si 0.9424 0.8848 0.6044

***

The following is a DFT calculation (GGA-PBE) of LiAc2Si after structural relaxation.

Computed properties:
Total DFT energy (no corrections)   -4.162 eV per atom

a b c (Å): 4.6600 6.7435 7.9582
angles (deg): 107.09 90.00 90.00
Sites, in units of the cell vectors:
Ac 0.7500 0.1465 0.3955
Ac 0.2500 0.8535 0.6045
Ac 0.7500 0.2469 0.9371
Si 0.7500 0.6270 0.3148
Li 0.7500 0.5809 0.6903
Li 0.2500 0.4191 0.3097
Ac 0.2500 0.7531 0.0629
Si 0.2500 0.3730 0.6852

***

The following is a DFT calculation (GGA-PBE) of LiAc2Si after structural relaxation.

Computed properties:
Total DFT energy (no corrections)   -4.097 eV per atom

a b c (Å): 4.1979 5.3027 5.3027
angles (deg): 90.00 90.00 90.00
Sites, in units of the cell vectors:
Ac 0.0000 0.5000 0.0000
Li 0.5000 0.0000 0.0000
Ac 0.0000 0.0000 0.5000
Si 0.5000 0.5000 0.5000

***

The following is a DFT calculation (GGA-PBE) of LiAc3Si2 after structural relaxation.

Computed properties:
Total DFT energy (no corrections)   -4.600 eV per atom

a b c (Å): 4.5749 12.5435 12.4849
angles (deg): 90.00 90.00 90.00
Sites, in units of the cell vectors:
Si 0.2500 0.8243 0.9732
Ac 0.7500 0.5643 0.6282
Ac 0.2500 0.6985 0.2031
Ac 0.2500 0.3751 0.0535
Li 0.7500 0.8718 0.8710
Li 0.7500 0.6282 0.3710
Si 0.7500 0.5078 0.1886
Ac 0.2500 0.0643 0.8718
Si 0.2500 0.6757 0.4732
Ac 0.7500 0.6249 0.9465
Ac 0.2500 0.1249 0.5535
Si 0.7500 0.9922 0.6886
Si 0.7500 0.3243 0.5268
Ac 0.7500 0.9357 0.1282
Ac 0.2500 0.4357 0.3718
Ac 0.7500 0.1985 0.2969
Li 0.2500 0.1282 0.1290
Si 0.7500 0.1757 0.0268
Li 0.2500 0.3718 0.6290
Si 0.2500 0.4922 0.8114
Ac 0.7500 0.8751 0.4465
Ac 0.7500 0.3015 0.7969
Si 0.2500 0.0078 0.3114
Ac 0.2500 0.8015 0.7031

***

The following is a DFT calculation (GGA-PBE) of Li6AcSi2 after structural relaxation.

Computed properties:
Total DFT energy (no corrections)   -3.172 eV per atom

a b c (Å): 4.4985 4.4985 8.7989
angles (deg): 90.00 90.00 90.00
Sites, in units of the cell vectors:
Si 0.5000 0.5000 0.8616
Si 0.5000 0.5000 0.1384
Li 0.0000 0.0000 0.5000
Li 0.5000 0.0000 0.7075
Li 0.0000 0.5000 0.7075
Ac 0.0000 0.0000 0.0000
Li 0.5000 0.5000 0.5000
Li 0.0000 0.5000 0.2925
Li 0.5000 0.0000 0.2925

***

The following is a DFT calculation (GGA-PBE) of Li4Ac3Si4 after structural relaxation.

Computed properties:
Total DFT energy (no corrections)   -4.260 eV per atom

a b c (Å): 4.6330 7.0549 8.7703
angles (deg): 113.72 105.32 90.00
Sites, in units of the cell vectors:
Li 0.3303 0.5182 0.6606
Li 0.3303 0.1424 0.6606
Li 0.6697 0.4818 0.3394
Si 0.5000 0.1713 0.0000
Si 0.5000 0.8287 0.0000
Ac 0.1340 0.1340 0.2681
Ac 0.0000 0.5000 0.0000
Si 0.2124 0.7124 0.4248
Li 0.6697 0.8576 0.3394
Si 0.7876 0.2876 0.5752
Ac 0.8660 0.8660 0.7319

***

The following is a DFT calculation (GGA-PBE) of Li2AcSmSi2 after structural relaxation.

Computed properties:
Total DFT energy (no corrections)   -4.428 eV per atom

a b c (Å): 4.5394 4.5394 7.7584
angles (deg): 90.00 90.00 120.00
Sites, in units of the cell vectors:
Ac 0.0000 0.0000 0.0000
Sm 0.0000 0.0000 0.5000
Li 0.3333 0.6667 0.6987
Si 0.6667 0.3333 0.7248
Li 0.6667 0.3333 0.3013
Si 0.3333 0.6667 0.2752